The following is a DFT calculation (GGA-PBE) of Ho4Er3Al after structural relaxation.

abc: 3.475 5.282 12.721
angles: 90.00 90.00 90.00
Positions (direct):
Ho1 0.000 0.000 0.000
Ho2 0.000 0.500 0.324
Ho3 0.500 0.000 0.479
Ho4 0.500 0.500 0.838
Er1 0.000 0.000 0.728
Er2 0.000 0.500 0.592
Er3 0.500 0.500 0.102
Al1 0.500 0.000 0.224

For the calculated density, the calculation gives 8.5 g/cm3. The symmetry is No. 25. As for the density of states at the Fermi level: 11.81 states/eV/f.u. As for the raw total energy: -35.8 eV per cell. The relative energy among the computed polymorphs comes out at 70 meV/atom. Its formation energy is -0.013 eV per atom.



The following is a DFT calculation (GGA-PBE) of ScTl2F4 after structural relaxation.

abc: 7.593 7.593 7.593
angles: 97.27 97.27 138.33
Positions (direct):
Sc1 0.250 0.250 0.000
Sc2 0.750 0.750 0.000
Tl1 0.151 0.651 0.802
Tl2 0.349 0.151 0.500
Tl3 0.651 0.849 0.500
Tl4 0.849 0.349 0.198
F1 0.064 0.161 0.224
F2 0.161 0.936 0.097
F3 0.339 0.436 0.776
F4 0.436 0.661 0.097
F5 0.564 0.339 0.903
F6 0.661 0.564 0.224
F7 0.839 0.064 0.903
F8 0.936 0.839 0.776

For the calculated density, the calculation gives 6.5 g/cm3. The symmetry is No. 140. As for the density of states at the Fermi level: 2.25 states/eV/f.u. As for the raw total energy: -72.5 eV per cell. The relative energy among the computed polymorphs comes out at 152 meV/atom. The calculation puts the formation energy from raw total energies at -2.53 eV per atom.



The following is a DFT calculation (GGA-PBE) of HfTaW4 after structural relaxation.

abc: 5.344 5.344 5.344
angles: 60.00 60.00 60.00
Positions (direct):
Hf1 0.000 0.000 0.000
Ta1 0.750 0.750 0.750
W1 0.375 0.375 0.375
W2 0.375 0.375 0.875
W3 0.375 0.875 0.375
W4 0.875 0.375 0.375

For the calculated density, the calculation gives 16.8 g/cm3. The symmetry is No. 216. As for the density of states at the Fermi level: 3.46 states/eV/f.u. As for the raw total energy: -74.1 eV per cell. Its formation energy is -0.076 eV per atom.



The following is a DFT calculation (GGA-PBE) of LaPrSc after structural relaxation.

abc: 7.813 7.813 7.813
angles: 153.13 153.13 38.36
Positions (direct):
La1 0.000 0.000 0.000
Pr1 0.681 0.681 0.000
Sc1 0.340 0.340 0.000

For the calculated density, the calculation gives 5.5 g/cm3. The symmetry is No. 107. As for the density of states at the Fermi level: 5.26 states/eV/f.u. As for the raw total energy: -15.8 eV per cell. The relative energy among the computed polymorphs comes out at 2 meV/atom. Its formation energy is 0.069 eV per atom.



The following is a DFT calculation (GGA-PBE) of NbSbP3 after structural relaxation.

abc: 4.874 4.874 4.874
angles: 90.00 90.00 90.00
Positions (direct):
Nb1 0.000 0.000 0.000
Sb1 0.500 0.500 0.500
P1 0.000 0.500 0.500
P2 0.500 0.000 0.500
P3 0.500 0.500 0.000

For the calculated density, the calculation gives 4.4 g/cm3. The symmetry is No. 221. As for the density of states at the Fermi level: 8.05 states/eV/f.u. As for the raw total energy: -23.0 eV per cell. The relative energy among the computed polymorphs comes out at 997 meV/atom. The calculation puts the formation energy from raw total energies at 1.47 eV per atom.



The following is a DFT calculation (GGA-PBE) of KAcNpO4 after structural relaxation.

abc: 7.431 7.431 7.431
angles: 122.82 117.41 89.86
Positions (direct):
K1 0.371 0.121 0.250
K2 0.629 0.879 0.750
Ac1 0.000 0.500 0.500
Ac2 0.500 0.500 0.000
Np1 0.000 0.000 0.500
Np2 0.000 0.500 0.000
O1 0.175 0.737 0.438
O2 0.201 0.263 0.938
O3 0.210 0.240 0.531
O4 0.210 0.679 0.969
O5 0.790 0.321 0.031
O6 0.790 0.760 0.469
O7 0.799 0.737 0.062
O8 0.825 0.263 0.562

For the calculated density, the calculation gives 6.5 g/cm3. The symmetry is No. 74. As for the density of states at the Fermi level: 7.96 states/eV/f.u. As for the raw total energy: -114.7 eV per cell. The calculation puts the formation energy from raw total energies at -2.76 eV per atom.



The following is a DFT calculation (GGA-PBE) of Mn2NiRh after structural relaxation.

abc: 4.147 4.147 4.147
angles: 60.00 60.00 60.00
Positions (direct):
Mn1 0.000 0.000 0.000
Mn2 0.250 0.250 0.250
Ni1 0.500 0.500 0.500
Rh1 0.750 0.750 0.750

For the calculated density, the calculation gives 8.9 g/cm3. The symmetry is No. 216. As for the density of states at the Fermi level: 6.49 states/eV/f.u. As for the raw total energy: -30.9 eV per cell. Its formation energy is 0.131 eV per atom.



The following is a DFT calculation (GGA-PBE) of FeSiRu2 after structural relaxation.

abc: 4.638 4.638 4.638
angles: 133.66 133.66 67.63
Positions (direct):
Fe1 0.000 0.000 0.000
Si1 0.750 0.250 0.500
Ru1 0.250 0.750 0.500
Ru2 0.500 0.500 0.000

For the calculated density, the calculation gives 9.3 g/cm3. The symmetry is No. 119. As for the density of states at the Fermi level: 3.81 states/eV/f.u. As for the raw total energy: -33.1 eV per cell. The calculation puts the formation energy from raw total energies at -0.15 eV per atom.



The following is a DFT calculation (GGA-PBE) of In4BrCl after structural relaxation.

abc: 6.367 6.367 6.367
angles: 60.00 60.00 60.00
Positions (direct):
In1 0.125 0.125 0.125
In2 0.125 0.125 0.624
In3 0.125 0.624 0.125
In4 0.624 0.125 0.125
Br1 0.750 0.750 0.750
Cl1 0.500 0.500 0.500

For the calculated density, the calculation gives 5.2 g/cm3. The symmetry is No. 216. As for the density of states at the Fermi level: 3.05 states/eV/f.u. As for the raw total energy: -15.7 eV per cell. The calculation puts the formation energy from raw total energies at -0.21 eV per atom.



The following is a DFT calculation (GGA-PBE) of HgIr3 after structural relaxation.

abc: 4.634 5.690 4.867
angles: 90.00 90.00 90.00
Positions (direct):
Hg1 0.250 0.250 0.151
Hg2 0.750 0.750 0.849
Ir1 0.250 0.505 0.650
Ir2 0.250 0.750 0.181
Ir3 0.250 0.995 0.650
Ir4 0.750 0.005 0.350
Ir5 0.750 0.250 0.819
Ir6 0.750 0.495 0.350

For the calculated density, the calculation gives 20.1 g/cm3. The symmetry is No. 59. As for the density of states at the Fermi level: 4.51 states/eV/f.u. As for the raw total energy: -49.6 eV per cell. Its formation energy is 0.524 eV per atom.



The following is a DFT calculation (GGA-PBE) of BeIr2Ru after structural relaxation.

abc: 4.240 4.240 4.240
angles: 60.00 60.00 60.00
Positions (direct):
Be1 0.000 0.000 0.000
Ir1 0.250 0.250 0.250
Ir2 0.500 0.500 0.500
Ru1 0.750 0.750 0.750

For the calculated density, the calculation gives 15.2 g/cm3. The symmetry is No. 216. As for the density of states at the Fermi level: 5.31 states/eV/f.u. As for the raw total energy: -29.9 eV per cell. Its formation energy is 0.201 eV per atom.



The following is a DFT calculation (GGA-PBE) of RbFe2S3 after structural relaxation.

abc: 7.338 7.338 5.168
angles: 90.00 90.00 103.92
Positions (direct):
Rb1 0.177 0.823 0.750
Rb2 0.823 0.177 0.250
Fe1 0.359 0.359 0.000
Fe2 0.359 0.359 0.500
Fe3 0.641 0.641 0.000
Fe4 0.641 0.641 0.500
S1 0.125 0.330 0.750
S2 0.330 0.125 0.250
S3 0.395 0.605 0.250
S4 0.605 0.395 0.750
S5 0.670 0.875 0.750
S6 0.875 0.670 0.250

For the calculated density, the calculation gives 3.6 g/cm3. The symmetry is No. 63. As for the density of states at the Fermi level: 4.48 states/eV/f.u. As for the raw total energy: -68.9 eV per cell. The calculation puts the formation energy from raw total energies at -0.69 eV per atom.